[1]
This record from Alexandria via LeMat-Bulk describes an optimized crystal structure of Pm4Sm5In4. The functional is GGA-PBE.

Calculated values
Density (Mg/m³): 7.368
DOS(E_F) (states/eV/cell): 33.0
Energy relative to the elements (eV per atom): -0.313
Calculated total energy (Ry per atom): -0.32580

a b c (Å): 12.419 12.419 5.235
angles (deg): 90.00 90.00 90.00
Space group I4/m (No. 87)
Symmetry-distinct sites (fractional):
Pm 0.097 0.384 0.000
Sm 0.000 0.000 0.000
Sm 0.096 0.187 0.500
In 0.112 0.768 0.000

[2]
This record from Alexandria via LeMat-Bulk describes an optimized crystal structure of Fe3SnIr. The functional is GGA-PBE.

Calculated values
Density (Mg/m³): 7.524
DOS(E_F) (states/eV/cell): 6.3
Energy relative to the elements (eV per atom): 0.996
Distance to the lowest polymorph of the same formula (eV per atom): 0.000
Calculated total energy (Ry per atom): -0.48909

a b c (Å): 4.727 4.727 4.727
angles (deg): 90.00 90.00 90.00
Space group Pm-3m (No. 221)
Symmetry-distinct sites (fractional):
Fe 0.000 0.000 0.500
Sn 0.500 0.500 0.500
Ir 0.000 0.000 0.000

[3]
This record from Alexandria via LeMat-Bulk describes an optimized crystal structure of Ba2SrSiAu. The functional is GGA-PBE.

Calculated values
E_form (uncorrected) (eV per formula unit): 3.8
Density (Mg/m³): 4.072
DOS(E_F) (states/eV/cell): 5.9
Calculated total energy (Ry per atom): -0.15357

a b c (Å): 6.699 6.699 5.336
angles (deg): 90.00 90.00 90.00
Space group P4/mmm (No. 123)
Symmetry-distinct sites (fractional):
Ba 0.000 0.500 0.000
Sr 0.000 0.000 0.000
Si 0.500 0.500 0.500
Au 0.000 0.000 0.500

[4]
This record from Alexandria via LeMat-Bulk describes an optimized crystal structure of BaLa4Ni. The functional is GGA-PBE.

Calculated values
Density (Mg/m³): 5.939
DOS(E_F) (states/eV/cell): 45.4
Energy relative to the elements (eV per atom): 0.598
Calculated total energy (Ry per atom): -0.29184

a b c (Å): 9.438 9.438 9.438
angles (deg): 90.00 90.00 90.00
Space group F-43m (No. 216)
Symmetry-distinct sites (fractional):
Ba 0.000 0.000 0.000
La 0.120 0.120 0.620
Ni 0.250 0.250 0.250

[5]
This record from Alexandria via LeMat-Bulk describes an optimized crystal structure of LiAl3. The functional is GGA-PBE.

Calculated values
Density (Mg/m³): 2.181
DOS(E_F) (states/eV/cell): 1.6
Energy relative to the elements (eV per atom): -0.074
Calculated total energy (Ry per atom): -0.24694

a b c (Å): 2.9150 2.9150 27.2737
angles (deg): 90.00 90.00 120.00
Space group R-3m (No. 166, hexagonal axes)
Symmetry-distinct sites (fractional):
Li 0.0000 0.0000 0.0000
Al 0.0000 0.0000 0.2492
Al 0.0000 0.0000 0.5000

[6]
This record from Alexandria via LeMat-Bulk describes an optimized crystal structure of RbPmSn2. The functional is GGA-PBE.

Calculated values
Density (Mg/m³): 6.157
DOS(E_F) (states/eV/cell): 1.4
Energy relative to the elements (eV per atom): -0.162
Distance to the lowest polymorph of the same formula (eV per atom): 0.265
Calculated total energy (Ry per atom): -0.26406

a b c (Å): 5.119 5.119 4.815
angles (deg): 90.00 90.00 90.00
Space group P4/mmm (No. 123)
Symmetry-distinct sites (fractional):
Rb 0.000 0.000 0.000
Pm 0.500 0.500 0.000
Sn 0.000 0.500 0.500

[7]
This record from Alexandria via LeMat-Bulk describes an optimized crystal structure of CaLa2FeH. The functional is GGA-PBE.

Calculated values
Density (Mg/m³): 3.991
DOS(E_F) (states/eV/cell): 7.9
Calculated total energy (Ry per atom): -0.24666

a b c (Å): 5.913 5.913 4.459
angles (deg): 90.00 90.00 90.00
Space group P4/mmm (No. 123)
Symmetry-distinct sites (fractional):
Ca 0.000 0.000 0.000
La 0.000 0.500 0.000
Fe 0.000 0.000 0.500
H 0.500 0.500 0.500

[8]
This record from Alexandria via LeMat-Bulk describes an optimized crystal structure of CaCe2ThBi4. The functional is GGA-PBE.

Calculated values
Density (Mg/m³): 8.330
DOS(E_F) (states/eV/cell): 14.2
Energy relative to the elements (eV per atom): -0.761
Calculated total energy (Ry per atom): -0.39413

a b c (Å): 7.966 4.610 7.988
angles (deg): 90.00 109.36 90.00
Space group P2/m (No. 10)
Symmetry-distinct sites (fractional):
Ca 0.000 0.000 0.000
Ce 0.000 0.500 0.500
Ce 0.500 0.000 0.500
Th 0.500 0.500 0.000
Bi 0.250 0.000 0.750
Bi 0.253 0.500 0.252